Model a:
Material: MnCoCl2
Method: DFT, GGA-PBE
State: optimized geometry

Cell: 6.1686 6.1686 6.1686 Å, 147.07 147.07 47.27°
With the nearest neighbours (Å) after each atom.
Positions (direct):
Mn  0.0000  0.0000  0.0000  4 Cl 2.47
Co  0.7500  0.2500  0.5000  4 Cl 2.47
Cl  0.2500  0.7500  0.5000  4 Co 2.47
Cl  0.5000  0.5000  0.0000  4 Mn 2.47

SG: I-4m2 (119)

Model b:
Material: MnCoCl2
Method: DFT, GGA-PBE
State: optimized geometry

Cell: 3.1799 3.1799 8.3219 Å, 90.00 90.00 110.51°
With the nearest neighbours (Å) after each atom.
Positions (direct):
Mn  0.0000  0.0000  0.0000  2 Cl 2.40, 2 Co 2.56
Co  0.5000  0.5000  0.2169  2 Cl 2.24
Cl  0.0000  0.0000  0.3743  2 Co 2.24
Cl  0.5000  0.5000  0.8117  2 Mn 2.40

SG: Cmm2 (35)

Model c:
Material: MnCoCl2
Method: DFT, GGA-PBE
State: optimized geometry

Cell: 3.1397 3.8128 5.8438 Å, 90.00 90.00 90.00°
With the nearest neighbours (Å) after each atom.
Positions (direct):
Mn  0.0000  0.0000  0.0000  4 Cl 2.47
Co  0.5000  0.0000  0.5000  4 Cl 2.47
Cl  0.0000  0.5000  0.5000  4 Co 2.47
Cl  0.5000  0.5000  0.0000  4 Mn 2.47

SG: Pmmm (47)

Relative stability in eV/atom, measured from the most stable structure: model a 0.298; model b 0.000; model c 0.263

Model a:
Material: MnCo2Cl
Method: DFT, GGA-PBE
State: optimized geometry

Cell: 5.0413 5.0413 5.0413 Å, 147.79 129.80 60.91°
With the nearest neighbours (Å) after each atom.
Positions (direct):
Mn  0.0000  0.0000  0.0000  4 Cl 2.56, 4 Co 2.70, 2 Mn 2.80
Co  0.2653  0.7653  0.5000  2 Cl 2.47, 4 Co 2.57, 2 Mn 2.70
Co  0.7347  0.2347  0.5000  2 Cl 2.47, 4 Co 2.57, 2 Mn 2.70
Cl  0.5000  0.5000  0.0000  4 Co 2.47, 4 Mn 2.56

SG: Immm (71)

Model b:
Material: MnCo2Cl
Method: DFT, GGA-PBE
State: optimized geometry

Cell: 3.9175 3.9175 6.3202 Å, 91.90 91.90 44.72°
With the nearest neighbours (Å) after each atom.
Positions (direct):
Mn  0.0000  0.0000  0.0000  2 Cl 2.43, 5 Co 2.52-2.70
Co  0.4357  0.4357  0.3460  3 Co 2.22-2.28, 1 Cl 2.29
Co  0.7183  0.7183  0.2229  3 Co 2.22-2.28
Cl  0.4211  0.4211  0.7075  1 Co 2.29, 2 Mn 2.43

SG: Cm (8)

Model c:
Material: MnCo2Cl
Method: DFT, GGA-PBE
State: optimized geometry

Cell: 7.6159 7.6159 7.6159 Å, 21.60 21.60 21.60°
With the nearest neighbours (Å) after each atom.
Positions (direct):
Mn  0.0000  0.0000  0.0000  6 Co 2.45
Co  0.2521  0.2521  0.2521  3 Mn 2.45, 3 Cl 2.52
Co  0.7479  0.7479  0.7479  3 Mn 2.45, 3 Cl 2.52
Cl  0.5000  0.5000  0.5000  6 Co 2.52

SG: R-3m (166)

Model d:
Material: MnCo2Cl
Method: DFT, GGA-PBE
State: optimized geometry

Cell: 4.8191 4.8191 4.8191 Å, 135.35 135.35 64.99°
With the nearest neighbours (Å) after each atom.
Positions (direct):
Mn  0.0000  0.0000  0.0000  8 Co 2.59-2.74, 4 Cl 2.74
Co  0.5000  0.5000  0.0000  4 Mn 2.59, 4 Co 2.74, 4 Cl 2.74
Co  0.7500  0.2500  0.5000  4 Cl 2.59, 4 Mn 2.74, 4 Co 2.74
Cl  0.2500  0.7500  0.5000  8 Co 2.59-2.74, 4 Mn 2.74

SG: I-4m2 (119)

Relative stability in eV/atom, measured from the most stable structure: model a 0.280; model b 0.000; model c 0.147; model d 0.441

Model a:
Material: MnCoCl6
Method: DFT, GGA-PBE
State: optimized geometry

Cell: 6.8277 6.8277 5.8273 Å, 97.52 97.52 129.47°
With the nearest neighbours (Å) after each atom.
Positions (direct):
Mn  0.0000  0.0000  0.0000  6 Cl 2.29-2.32
Co  0.5000  0.5000  0.5000  6 Cl 2.39-2.41
Cl  0.1083  0.3679  0.2387  1 Mn 2.29, 1 Co 2.41
Cl  0.2462  0.2462  0.7547  1 Mn 2.32, 1 Co 2.39
Cl  0.3679  0.1083  0.2387  1 Mn 2.29, 1 Co 2.41
Cl  0.6321  0.8917  0.7613  1 Mn 2.29, 1 Co 2.41
Cl  0.7538  0.7538  0.2453  1 Mn 2.32, 1 Co 2.39
Cl  0.8917  0.6321  0.7613  1 Mn 2.29, 1 Co 2.41

SG: C2/m (12)

Model b:
Material: MnCoCl6
Method: DFT, GGA-PBE
State: optimized geometry

Cell: 6.3010 6.3010 6.3010 Å, 56.23 56.23 56.23°
With the nearest neighbours (Å) after each atom.
Positions (direct):
Mn  0.0000  0.0000  0.0000  6 Cl 2.37
Co  0.5000  0.5000  0.5000  6 Cl 2.29
Cl  0.1102  0.3999  0.7432  1 Co 2.29, 1 Mn 2.37
Cl  0.2568  0.8898  0.6001  1 Co 2.29, 1 Mn 2.37
Cl  0.3999  0.7432  0.1102  1 Co 2.29, 1 Mn 2.37
Cl  0.6001  0.2568  0.8898  1 Co 2.29, 1 Mn 2.37
Cl  0.7432  0.1102  0.3999  1 Co 2.29, 1 Mn 2.37
Cl  0.8898  0.6001  0.2568  1 Co 2.29, 1 Mn 2.37

SG: R-3 (148)

Relative stability in eV/atom, measured from the most stable structure: model a 0.000; model b 0.036